No. 1
A plane-wave DFT calculation with PBE was carried out for a geometry-optimized PaRe3C structure.

Geometry as POSCAR:
```
PaRe3C
1.0
-3.047 -2.933 -0.203
0.779 -1.087 4.017
-2.835 2.853 1.322
C Re Pa
1 3 1
Cartesian
0.000 0.000 0.000 C
-1.418 1.427 0.661 Re
-1.523 -1.467 -0.102 Re
0.390 -0.544 2.009 Re
-2.551 -0.583 2.568 Pa
```

symmetry = Pm-3m (221)
E_tot = -11.28 eV/atom
DOS at the Fermi energy = 0.9 states/eV/f.u.


No. 2
A plane-wave DFT calculation with PBE was carried out for a geometry-optimized TlInMo structure.

Geometry as POSCAR:
```
TlInMo
1.0
7.571 -0.011 0.000
6.388 4.063 0.000
-6.980 -2.026 2.121
Mo In Tl
1 1 1
Cartesian
4.720 1.370 0.000 Mo
13.700 3.977 0.000 In
9.499 2.758 0.000 Tl
```

symmetry = I4mm (107)
E_tot = -4.66 eV/atom
energy above the lowest structure with this stoichiometry = 39.7 meV/atom
DOS at the Fermi energy = 3.1 states/eV/f.u.


No. 3
A plane-wave DFT calculation with PBE was carried out for a geometry-optimized PmPr8Dy2 structure.

Geometry as POSCAR:
```
PmPr8Dy2
1.0
-0.261 -9.430 -0.929
6.267 -7.878 -2.203
3.435 -8.483 4.737
Pr Dy Pm
8 2 1
Cartesian
4.859 -10.687 2.839 Pr
6.102 -10.422 -0.206 Pr
2.842 -8.676 0.404 Pr
2.993 -12.185 0.159 Pr
4.582 -15.104 -1.234 Pr
6.448 -13.606 1.446 Pr
6.600 -17.115 1.201 Pr
3.340 -15.369 1.811 Pr
8.159 -20.268 1.563 Dy
1.282 -5.523 0.042 Dy
0.000 0.000 0.000 Pm
```

symmetry = C2/m (12)
E_tot = -4.63 eV/atom
energy above the lowest structure with this stoichiometry = 0.0 meV/atom
DOS at the Fermi energy = 16.1 states/eV/f.u.


No. 4
A plane-wave DFT calculation with PBE was carried out for a geometry-optimized CoNi2Mo structure.

Geometry as POSCAR:
```
CoNi2Mo
1.0
-4.009 0.266 -1.862
0.380 -0.562 -4.376
1.508 -2.374 3.418
Ni Co Mo
2 1 1
Cartesian
0.037 -1.542 -2.039 Ni
-4.009 0.266 -1.862 Ni
-0.306 -2.522 0.299 Co
-2.157 -1.128 -0.781 Mo
```

symmetry = F222 (22)
E_tot = -7.42 eV/atom
energy above the lowest structure with this stoichiometry = 3.9 meV/atom
DOS at the Fermi energy = 4.2 states/eV/f.u.


No. 5
A plane-wave DFT calculation with PBE was carried out for a geometry-optimized VRe3Se structure.

Geometry as POSCAR:
```
VRe3Se
1.0
-2.901 0.257 -3.441
-3.119 -2.119 2.471
-1.476 3.970 1.541
Re Se V
3 1 1
Cartesian
-1.450 0.128 -1.720 Re
-0.738 1.985 0.770 Re
-1.559 -1.059 1.235 Re
0.000 0.000 0.000 Se
-3.748 1.054 0.285 V
```

symmetry = Pm-3m (221)
E_tot = -8.30 eV/atom
formation energy (no corrections) = 1.69 eV per atom
energy above the lowest structure with this stoichiometry = 0.0 meV/atom
DOS at the Fermi energy = 6.1 states/eV/f.u.


No. 6
A plane-wave DFT calculation with PBE was carried out for a geometry-optimized Nd6Sm structure.

Geometry as POSCAR:
```
Nd6Sm
1.0
6.671 0.000 0.000
0.000 6.671 0.000
0.000 0.000 11.354
Nd Sm
12 2
Cartesian
4.456 5.550 7.256 Nd
2.214 1.121 7.256 Nd
5.550 4.456 4.098 Nd
3.335 3.335 9.788 Nd
2.214 5.550 4.098 Nd
3.335 3.335 1.567 Nd
4.456 1.121 4.098 Nd
0.000 0.000 9.788 Nd
0.000 0.000 1.567 Nd
5.550 2.214 7.256 Nd
1.121 2.214 4.098 Nd
1.121 4.456 7.256 Nd
3.335 0.000 0.000 Sm
0.000 3.335 0.000 Sm
```

symmetry = P4/nbm (125)
E_tot = -4.53 eV/atom
energy above the lowest structure with this stoichiometry = 0.0 meV/atom
DOS at the Fermi energy = 9.0 states/eV/f.u.